This record from Alexandria via LeMat-Bulk describes Zr4Au2O after structural relaxation. The functional is PBE.

a = 3.373 Å, b = 7.500 Å, c = 10.725 Å
α = 90.00°, β = 90.00°, γ = 90.00°
Fractional coordinates of all 14 atoms:
Zr  0.500  0.680  0.065
Zr  0.000  0.866  0.306
Zr  0.000  0.134  0.694
Zr  0.500  0.820  0.565
Zr  0.500  0.320  0.935
Zr  0.500  0.180  0.435
Zr  0.000  0.634  0.806
Zr  0.000  0.366  0.194
Au  0.500  0.446  0.633
Au  0.500  0.554  0.367
Au  0.500  0.054  0.133
Au  0.500  0.946  0.867
O  0.000  0.000  0.500
O  0.000  0.500  0.000

Properties
For the final energy, the calculation gives -7.441 eV per atom. For the energy above the most stable polymorph in this dataset, the calculation gives 0.99 kcal/mol of atoms. The symmetry is Pbam. Its uncorrected formation energy is -0.911 eV per atom. The magnetization is 0.0 μB per cell.